# 1
{"formula": "Cr2HIr", "functional": "PBE-GGA", "state": "optimized geometry", "lattice_angstrom": [[-1.368, 1.119, -1.990], [-2.499, -0.770, -0.494], [-3.647, 4.975, 3.524]], "species": ["Cr", "Cr", "Ir", "H"], "fractional_positions": [[0.115, 0.115, 0.655], [0.885, 0.885, 0.345], [0.000, 0.000, 0.000], [0.500, 0.500, 0.500]], "dos_at_fermi_per_ev_atom": 1.49, "volume_a3_per_atom": 10.64, "e_above_lowest_polymorph_mev_per_atom": 467}


# 2
{"formula": "ZrAlAu", "functional": "PBE-GGA", "state": "optimized geometry", "lattice_angstrom": [[-4.276, 0.399, -1.963], [-1.855, -4.486, -2.549], [-1.796, -4.884, 2.915]], "species": ["Au", "Au", "Al", "Al", "Zr", "Zr"], "fractional_positions": [[0.057, 0.225, 0.865], [0.743, 0.853, 0.051], [0.730, 0.880, 0.538], [0.070, 0.198, 0.378], [0.400, 0.539, 0.458], [0.400, 0.539, 0.958]], "dos_at_fermi_per_ev_atom": 0.82, "volume_a3_per_atom": 18.53, "formation_enthalpy_0k_ev_per_atom": -0.545}


# 3
{"formula": "CaLaLu2", "functional": "PBE-GGA", "state": "optimized geometry", "lattice_angstrom": [[-3.558, 1.650, -0.914], [-1.041, -4.311, -3.728], [-2.506, -3.058, 4.235]], "species": ["Ca", "Lu", "Lu", "La"], "fractional_positions": [[0.500, 0.000, 0.000], [0.000, 0.000, 0.500], [0.000, 0.500, 0.000], [0.500, 0.500, 0.500]], "dos_at_fermi_per_ev_atom": 2.06, "volume_a3_per_atom": 33.79, "e_above_lowest_polymorph_mev_per_atom": 81, "formation_enthalpy_0k_ev_per_atom": 0.172}


# 4
{"formula": "InPt2Br", "functional": "PBE-GGA", "state": "optimized geometry", "lattice_angstrom": [[-0.287, -1.904, -3.539], [-0.926, -3.464, 4.172], [-4.187, -0.740, 0.617]], "species": ["Br", "Pt", "Pt", "In"], "fractional_positions": [[0.000, 0.500, 0.500], [0.000, 0.000, 0.000], [0.500, 0.000, 0.500], [0.500, 0.500, 0.000]], "dos_at_fermi_per_ev_atom": 0.72, "e_form_raw_ev_per_atom": 0.189, "volume_a3_per_atom": 20.20, "e_above_lowest_polymorph_mev_per_atom": 322}